{
  "formula": "SmDyCo2",
  "functional": "PBE",
  "state": "relaxed",
  "lattice": [[-2.290, -1.504, -1.994], [3.141, -0.016, -3.596], [1.587, -4.278, 1.405]],
  "species": ["Co", "Co", "Sm", "Dy"],
  "frac_coords": [[0.000, 0.000, 0.500], [0.000, 0.500, 0.000], [0.500, 0.000, 0.000], [0.500, 0.500, 0.500]],
  "total_energy_ev_per_atom": -5.96,
  "de_polymorph_mev_per_atom": 79.7,
  "m_tot_mub_per_fu": 0.8
}


{
  "formula": "TbDy2F",
  "functional": "PBE",
  "state": "relaxed",
  "lattice": [[3.677, 0.000, 0.000], [1.839, 3.185, 0.000], [1.839, 1.062, 8.460]],
  "species": ["F", "Tb", "Dy", "Dy"],
  "frac_coords": [[0.000, 0.000, 0.000], [0.500, 0.500, 0.500], [0.723, 0.723, 0.831], [0.277, 0.277, 0.169]],
  "total_energy_ev_per_atom": -5.06,
  "e_form_raw_ev_per_atom": -1.138,
  "m_tot_mub_per_fu": 0.0
}


{
  "formula": "YBeIr3",
  "functional": "PBE",
  "state": "relaxed",
  "lattice": [[4.268, 0.000, 0.000], [0.000, 4.268, 0.000], [0.000, 0.000, 4.268]],
  "species": ["Y", "Be", "Ir", "Ir", "Ir"],
  "frac_coords": [[0.500, 0.500, 0.500], [0.000, 0.000, 0.000], [0.000, 0.500, 0.000], [0.000, 0.000, 0.500], [0.500, 0.000, 0.000]],
  "total_energy_ev_per_atom": -7.80,
  "de_polymorph_mev_per_atom": 0.0,
  "m_tot_mub_per_fu": 0.0
}